VASP calculation (PBEsol) on crystalline Mg2TaCl at its relaxed geometry.

Structure (CIF):
```
data_Mg2TaCl
_chemical_formula_sum 'Mg4 Ta2 Cl2'
_space_group_name_H-M_alt 'C 1 m 1'
_space_group_IT_number 8
_cell_length_a 10.8826
_cell_length_b 2.9793
_cell_length_c 5.2861
_cell_angle_alpha 90.00
_cell_angle_beta 109.22
_cell_angle_gamma 90.00
loop_
_space_group_symop_operation_xyz
'x,y,z'
'x,-y,z'
'x+1/2,y+1/2,z'
'x+1/2,-y+1/2,z'
loop_
_atom_site_label
_atom_site_type_symbol
_atom_site_fract_x
_atom_site_fract_y
_atom_site_fract_z
Mg1 Mg 0.0000 0.0000 0.0000
Mg2 Mg 0.1995 0.0000 0.6302
Ta1 Ta 0.4502 0.0000 0.4865
Cl1 Cl 0.2881 0.5000 0.1757
```

Results
Energy relative to the lowest polymorph listed for this composition: 0.2886 eV/atom
Total magnetization: 0.0 μB per cell
Formation energy from raw total energies: 0.0258 eV per atom

---

VASP calculation (PBEsol) on crystalline Mg2TaCl at its relaxed geometry.

Structure (CIF):
```
data_Mg2TaCl
_chemical_formula_sum 'Mg8 Ta4 Cl4'
_space_group_name_H-M_alt 'I -4 2 d'
_space_group_IT_number 122
_space_group_name_Hall 'I -4 2bw'
_cell_length_a 7.4944
_cell_length_b 7.4944
_cell_length_c 5.5012
_cell_angle_alpha 90.00
_cell_angle_beta 90.00
_cell_angle_gamma 90.00
loop_
_atom_site_label
_atom_site_type_symbol
_atom_site_fract_x
_atom_site_fract_y
_atom_site_fract_z
Mg1 Mg 0.2079 0.7500 0.1250
Ta1 Ta 0.0000 0.0000 0.5000
Cl1 Cl 0.0000 0.0000 0.0000
```

Results
Energy relative to the lowest polymorph listed for this composition: 0.7821 eV/atom
Total magnetization: 0.0 μB per cell
Formation energy from raw total energies: 0.5193 eV per atom

---

VASP calculation (PBEsol) on crystalline MgTcCl2 at its relaxed geometry.

Structure (CIF):
```
data_MgTcCl2
_chemical_formula_sum 'Mg1 Tc1 Cl2'
_space_group_name_H-M_alt 'P 4/m m m'
_space_group_IT_number 123
_space_group_name_Hall '-P 4 2'
_cell_length_a 4.4073
_cell_length_b 4.4073
_cell_length_c 3.1003
_cell_angle_alpha 90.00
_cell_angle_beta 90.00
_cell_angle_gamma 90.00
loop_
_atom_site_label
_atom_site_type_symbol
_atom_site_fract_x
_atom_site_fract_y
_atom_site_fract_z
Mg1 Mg 0.0000 0.0000 0.0000
Tc1 Tc 0.5000 0.5000 0.0000
Cl1 Cl 0.0000 0.5000 0.5000
```

Results
Energy relative to the lowest polymorph listed for this composition: 0.4697 eV/atom
Total magnetization: 0.0 μB per cell
Formation energy from raw total energies: 0.1882 eV per atom